1.
# TbNpMn | Alexandria | PBE | optimized geometry
data_TbNpMn
_chemical_formula_sum 'Tb4 Np4 Mn4'
_symmetry_space_group_name_H-M 'P 41 21 2'
_symmetry_Int_Tables_number 92
_symmetry_space_group_name_Hall 'P 4abw 2nw'
_cell_length_a 6.280
_cell_length_b 6.280
_cell_length_c 7.441
_cell_angle_alpha 90.00
_cell_angle_beta 90.00
_cell_angle_gamma 90.00
loop_
_atom_site_label
_atom_site_type_symbol
_atom_site_fract_x
_atom_site_fract_y
_atom_site_fract_z
_atom_site_occupancy
Tb1 Tb 0.231 0.231 0.000 1
Np1 Np 0.198 0.198 0.500 1
Mn1 Mn 0.061 0.939 0.750 1
# N(E_F)   2.2848 states/eV/atom
# Formation enthalpy at 0 K   36 kJ/mol of atoms
# Magnetic moment   11.043 μB per cell

***

2.
# Sr3TbIn12 | Alexandria | PBE | optimized geometry
data_Sr3TbIn12
_chemical_formula_sum 'Sr3 Tb1 In12'
_symmetry_space_group_name_H-M 'P 4/m m m'
_symmetry_Int_Tables_number 123
_symmetry_space_group_name_Hall '-P 4 2'
_cell_length_a 4.827
_cell_length_b 4.827
_cell_length_c 19.070
_cell_angle_alpha 90.00
_cell_angle_beta 90.00
_cell_angle_gamma 90.00
loop_
_atom_site_label
_atom_site_type_symbol
_atom_site_fract_x
_atom_site_fract_y
_atom_site_fract_z
_atom_site_occupancy
Sr1 Sr 0.000 0.000 0.000 1
Sr2 Sr 0.000 0.000 0.256 1
Tb1 Tb 0.000 0.000 0.500 1
In1 In 0.000 0.500 0.127 1
In2 In 0.000 0.500 0.382 1
In3 In 0.500 0.500 0.000 1
In4 In 0.500 0.500 0.252 1
In5 In 0.500 0.500 0.500 1
# N(E_F)   0.6515 states/eV/atom
# Formation enthalpy at 0 K   -31 kJ/mol of atoms
# Magnetic moment   0.000 μB per cell

***

3.
# TbPm14Th | Alexandria | PBE | optimized geometry
data_TbPm14Th
_chemical_formula_sum 'Tb1 Pm14 Th1'
_symmetry_space_group_name_H-M 'P 4/m m m'
_symmetry_Int_Tables_number 123
_symmetry_space_group_name_Hall '-P 4 2'
_cell_length_a 7.276
_cell_length_b 7.276
_cell_length_c 10.322
_cell_angle_alpha 90.00
_cell_angle_beta 90.00
_cell_angle_gamma 90.00
loop_
_atom_site_label
_atom_site_type_symbol
_atom_site_fract_x
_atom_site_fract_y
_atom_site_fract_z
_atom_site_occupancy
Tb1 Tb 0.000 0.000 0.000 1
Pm1 Pm 0.000 0.000 0.500 1
Pm2 Pm 0.000 0.500 0.000 1
Pm3 Pm 0.000 0.500 0.500 1
Pm4 Pm 0.252 0.252 0.247 1
Pm5 Pm 0.500 0.500 0.500 1
Th1 Th 0.500 0.500 0.000 1
# N(E_F)   1.4422 states/eV/atom
# Formation enthalpy at 0 K   2 kJ/mol of atoms
# Magnetic moment   0.000 μB per cell

***

4.
# Fe2MoI | Alexandria | PBE | optimized geometry
data_Fe2MoI
_chemical_formula_sum 'Fe8 Mo4 I4'
_symmetry_space_group_name_H-M 'I -4 2 d'
_symmetry_Int_Tables_number 122
_symmetry_space_group_name_Hall 'I -4 2bw'
_cell_length_a 5.647
_cell_length_b 5.647
_cell_length_c 10.502
_cell_angle_alpha 90.00
_cell_angle_beta 90.00
_cell_angle_gamma 90.00
loop_
_atom_site_label
_atom_site_type_symbol
_atom_site_fract_x
_atom_site_fract_y
_atom_site_fract_z
_atom_site_occupancy
Fe1 Fe 0.222 0.250 0.125 1
Mo1 Mo 0.000 0.000 0.000 1
I1 I 0.000 0.000 0.500 1
# N(E_F)   0.5777 states/eV/atom
# Magnetic moment   4.372 μB per cell
# Raw formation energy   1.19 eV per atom

***

5.
# ThP2N6 | Alexandria | PBE | optimized geometry
data_ThP2N6
_chemical_formula_sum 'Th3 P6 N18'
_symmetry_space_group_name_H-M 'R 3'
_symmetry_Int_Tables_number 146
_symmetry_space_group_name_Hall 'R 3'
_cell_length_a 6.0889
_cell_length_b 6.0889
_cell_length_c 17.9837
_cell_angle_alpha 90.00
_cell_angle_beta 90.00
_cell_angle_gamma 120.00
loop_
_atom_site_label
_atom_site_type_symbol
_atom_site_fract_x
_atom_site_fract_y
_atom_site_fract_z
_atom_site_occupancy
Th1 Th 0.0000 0.0000 0.0000 1
P1 P 0.0000 0.0000 0.2501 1
P2 P 0.0000 0.0000 0.4168 1
N1 N 0.1824 0.8130 0.9223 1
N2 N 0.1837 0.8146 0.0786 1
# N(E_F)   0.2320 states/eV/atom
# Magnetic moment   11.487 μB per cell
# Raw formation energy   0.31 eV per atom

***

6.
# LaSb2Au | Alexandria | PBE | optimized geometry
data_LaSb2Au
_chemical_formula_sum 'La2 Sb4 Au2'
_symmetry_space_group_name_H-M 'C m m m'
_symmetry_Int_Tables_number 65
_symmetry_space_group_name_Hall '-C 2 2'
_cell_length_a 4.727
_cell_length_b 6.340
_cell_length_c 7.323
_cell_angle_alpha 90.00
_cell_angle_beta 90.00
_cell_angle_gamma 90.00
loop_
_atom_site_label
_atom_site_type_symbol
_atom_site_fract_x
_atom_site_fract_y
_atom_site_fract_z
_atom_site_occupancy
La1 La 0.000 0.000 0.000 1
Sb1 Sb 0.000 0.500 0.280 1
Au1 Au 0.000 0.000 0.500 1
# N(E_F)   0.5162 states/eV/atom
# Magnetic moment   0.000 μB per cell
# Raw formation energy   -0.41 eV per atom

***

7.
# Be2TlBr | Alexandria | PBE | optimized geometry
data_Be2TlBr
_chemical_formula_sum 'Be2 Tl1 Br1'
_symmetry_space_group_name_H-M 'P 4/m m m'
_symmetry_Int_Tables_number 123
_symmetry_space_group_name_Hall '-P 4 2'
_cell_length_a 4.263
_cell_length_b 4.263
_cell_length_c 5.309
_cell_angle_alpha 90.00
_cell_angle_beta 90.00
_cell_angle_gamma 90.00
loop_
_atom_site_label
_atom_site_type_symbol
_atom_site_fract_x
_atom_site_fract_y
_atom_site_fract_z
_atom_site_occupancy
Be1 Be 0.000 0.500 0.000 1
Tl1 Tl 0.000 0.000 0.500 1
Br1 Br 0.500 0.500 0.500 1
# N(E_F)   0.2928 states/eV/atom
# Magnetic moment   0.000 μB per cell
# Raw formation energy   1.00 eV per atom

***

8.
# Hf2NiHAu | Alexandria | PBE | optimized geometry
data_Hf2NiHAu
_chemical_formula_sum 'Hf2 Ni1 H1 Au1'
_symmetry_space_group_name_H-M 'P 4/m m m'
_symmetry_Int_Tables_number 123
_symmetry_space_group_name_Hall '-P 4 2'
_cell_length_a 5.264
_cell_length_b 5.264
_cell_length_c 3.294
_cell_angle_alpha 90.00
_cell_angle_beta 90.00
_cell_angle_gamma 90.00
loop_
_atom_site_label
_atom_site_type_symbol
_atom_site_fract_x
_atom_site_fract_y
_atom_site_fract_z
_atom_site_occupancy
Hf1 Hf 0.000 0.500 0.000 1
Ni1 Ni 0.000 0.000 0.500 1
H1 H 0.500 0.500 0.500 1
Au1 Au 0.500 0.500 0.000 1
# E_tot   -5.916 eV per atom
# N(E_F)   0.9702 states/eV/atom
# Magnetic moment   0.000 μB per cell

***

> The highest N(E_F) belongs to which entry?

TbNpMn